The following is a DFT calculation (GGA-PBE) of a relaxed LaNdDy2Se6 crystal. Values from VASP.

Cell and atoms, written as Quantum ESPRESSO input:
```
&SYSTEM
  ibrav = 0, nat = 10, ntyp = 4
/
ATOMIC_SPECIES
La 138.91 La.upf
Nd 144.24 Nd.upf
Dy 162.50 Dy.upf
Se 78.96 Se.upf
ATOMIC_POSITIONS crystal
La 0.000 0.000 0.000
Nd 0.497 0.497 0.497
Dy 0.295 0.295 0.295
Dy 0.797 0.797 0.797
Se 0.080 0.674 0.420
Se 0.183 0.581 0.911
Se 0.420 0.080 0.674
Se 0.581 0.911 0.183
Se 0.674 0.420 0.080
Se 0.911 0.183 0.581
CELL_PARAMETERS angstrom
3.699 2.136 6.509
-3.699 2.136 6.509
0.000 -4.271 6.509
```

Computed properties:
**Uncorrected formation energy**: -18.816 eV per formula unit
**V**: 30.9 A^3/atom
**E_tot**: -5.86 eV per atom

The following is a DFT calculation (GGA-PBE) of a relaxed La2NdSmDy4 crystal. Values from VASP.

Cell and atoms, written as Quantum ESPRESSO input:
```
&SYSTEM
  ibrav = 0, nat = 8, ntyp = 4
/
ATOMIC_SPECIES
La 138.91 La.upf
Nd 144.24 Nd.upf
Sm 150.36 Sm.upf
Dy 162.50 Dy.upf
ATOMIC_POSITIONS crystal
La 0.000 0.000 0.000
La 0.000 0.500 0.500
Nd 0.500 0.000 0.500
Sm 0.500 0.500 0.000
Dy 0.251 0.000 0.751
Dy 0.251 0.500 0.250
Dy 0.749 0.000 0.249
Dy 0.749 0.500 0.750
CELL_PARAMETERS angstrom
6.280 0.000 0.000
0.000 3.637 0.000
-2.118 0.000 11.718
```

Computed properties:
**Formation enthalpy at 0 K**: 17 meV/atom
**V**: 33.5 A^3/atom
**E_tot**: -4.70 eV per atom

The following is a DFT calculation (GGA-PBE) of a relaxed La2Nd2SmDy2 crystal. Values from VASP.

Cell and atoms, written as Quantum ESPRESSO input:
```
&SYSTEM
  ibrav = 0, nat = 7, ntyp = 4
/
ATOMIC_SPECIES
La 138.91 La.upf
Nd 144.24 Nd.upf
Sm 150.36 Sm.upf
Dy 162.50 Dy.upf
ATOMIC_POSITIONS crystal
La 0.142 0.142 0.427
La 0.858 0.858 0.573
Nd 0.285 0.285 0.859
Nd 0.715 0.715 0.141
Sm 0.000 0.000 0.000
Dy 0.429 0.429 0.285
Dy 0.571 0.571 0.715
CELL_PARAMETERS angstrom
5.770 -2.583 0.000
5.770 2.583 0.000
-1.149 0.000 8.117
```

Computed properties:
**Formation enthalpy at 0 K**: 23 meV/atom
**V**: 34.6 A^3/atom
**E_tot**: -4.74 eV per atom

The following is a DFT calculation (GGA-PBE) of a relaxed La2Nd3SmDy6 crystal. Values from VASP.

Cell and atoms, written as Quantum ESPRESSO input:
```
&SYSTEM
  ibrav = 0, nat = 12, ntyp = 4
/
ATOMIC_SPECIES
La 138.91 La.upf
Nd 144.24 Nd.upf
Sm 150.36 Sm.upf
Dy 162.50 Dy.upf
ATOMIC_POSITIONS crystal
La 0.166 0.834 0.000
La 0.834 0.166 0.000
Nd 0.000 0.000 0.500
Nd 0.333 0.667 0.500
Nd 0.667 0.333 0.500
Sm 0.500 0.500 0.000
Dy 0.084 0.416 0.749
Dy 0.251 0.251 0.251
Dy 0.416 0.084 0.749
Dy 0.584 0.916 0.251
Dy 0.749 0.749 0.749
Dy 0.916 0.584 0.251
CELL_PARAMETERS angstrom
3.145 -5.447 0.000
3.145 5.447 0.000
-2.092 0.000 11.696
```

Computed properties:
**Formation enthalpy at 0 K**: 13 meV/atom
**V**: 33.4 A^3/atom
**E_tot**: -4.69 eV per atom